TaCdHg2: relaxed, PBE-GGA.

Calculated values
Calculated volume = 82.9 Å³/cell
ΔE_f = 9.7 kcal/mol of atoms

Unit cell a=5.1915 b=5.1915 c=3.0754 alpha=90.00 beta=90.00 gamma=90.00
Closest atoms and distances in Å follow each position.
Positions (direct):
Ta 0.0000 0.0000 0.0000  8 Hg 3.02, 2 Ta 3.08
Cd 0.5000 0.5000 0.0000  8 Hg 3.02, 2 Cd 3.08
Hg 0.0000 0.5000 0.5000  4 Cd 3.02, 4 Ta 3.02, 2 Hg 3.08
Hg 0.5000 0.0000 0.5000  4 Cd 3.02, 4 Ta 3.02, 2 Hg 3.08

TiNbSn: relaxed, PBE-GGA.

Calculated values
Calculated volume = 116.9 Å³/cell
ΔE_f = -1.3 kcal/mol of atoms

Unit cell a=2.9933 b=5.9155 c=6.8764 alpha=101.11 beta=101.05 gamma=91.93
Closest atoms and distances in Å follow each position.
Positions (direct):
Ti 0.2268 0.3422 0.3435  3 Ti 2.77-2.99, 4 Nb 2.79-3.08, 2 Sn 2.94-3.06
Ti 0.7732 0.6578 0.6565  3 Ti 2.77-2.99, 4 Nb 2.79-3.08, 2 Sn 2.94-3.06
Nb 0.0514 0.8318 0.3463  3 Nb 2.68-2.99, 2 Ti 2.79-2.96, 2 Sn 2.95-2.98
Nb 0.9486 0.1682 0.6537  3 Nb 2.68-2.99, 2 Ti 2.79-2.96, 2 Sn 2.95-2.98
Sn 0.5000 0.0000 0.0000  4 Sn 2.96-2.99, 4 Nb 2.98-3.24, 4 Ti 3.06-3.21
Sn 0.5000 0.5000 0.0000  4 Ti 2.94-3.19, 2 Nb 2.95, 4 Sn 2.96-2.99

Ce5InGe5: relaxed, PBE-GGA.

Calculated values
Calculated volume = 310.7 Å³/cell
ΔE_f = -7.0 kcal/mol of atoms

Unit cell a=7.2439 b=7.2439 c=8.3769 alpha=107.24 beta=107.24 gamma=48.35
Closest atoms and distances in Å follow each position.
Positions (direct):
Ce 0.0000 0.0000 0.0000  4 Ge 2.94-2.97
Ce 0.3354 0.3354 0.6684  5 Ge 2.94-3.00
Ce 0.3386 0.3386 0.1658  5 Ge 2.89-2.97
Ce 0.6614 0.6614 0.8342  5 Ge 2.89-2.97
Ce 0.6646 0.6646 0.3316  5 Ge 2.94-3.00
In 0.0000 0.0000 0.5000  6 Ge 2.97-3.11
Ge 0.1682 0.1682 0.8405  5 Ce 2.92-3.00, 1 In 2.99
Ge 0.1759 0.1759 0.3283  5 Ce 2.89-2.97, 1 In 3.11
Ge 0.5000 0.5000 0.5000  4 Ce 2.92-2.95, 2 In 2.97
Ge 0.8241 0.8241 0.6717  5 Ce 2.89-2.97, 1 In 3.11
Ge 0.8318 0.8318 0.1595  5 Ce 2.92-3.00, 1 In 2.99

Ni4Ge: relaxed, PBE-GGA.

Calculated values
Calculated volume = 125.0 Å³/cell
ΔE_f = -0.4 kcal/mol of atoms

Unit cell a=4.9893 b=6.0100 c=4.1684 alpha=90.00 beta=90.00 gamma=90.00
Closest atoms and distances in Å follow each position.
Positions (direct):
Ni 0.0000 0.1438 0.2471  1 Ge 2.39, 8 Ni 2.45-2.49
Ni 0.0000 0.8562 0.7529  1 Ge 2.39, 8 Ni 2.45-2.49
Ni 0.2500 0.2106 0.7500  2 Ge 2.38, 8 Ni 2.45-2.49
Ni 0.2500 0.7894 0.2500  2 Ge 2.38, 8 Ni 2.45-2.49
Ni 0.5000 0.1438 0.2529  1 Ge 2.39, 8 Ni 2.45-2.49
Ni 0.5000 0.8562 0.7471  1 Ge 2.39, 8 Ni 2.45-2.49
Ni 0.7500 0.2106 0.7500  2 Ge 2.38, 8 Ni 2.45-2.49
Ni 0.7500 0.7894 0.2500  2 Ge 2.38, 8 Ni 2.45-2.49
Ge 0.0000 0.5000 0.5000  6 Ni 2.38-2.39
Ge 0.5000 0.5000 0.0000  6 Ni 2.38-2.39

LiMn2InRu: relaxed, PBE-GGA.

Calculated values
Calculated volume = 108.4 Å³/cell
ΔE_f = 33.5 kcal/mol of atoms

Unit cell a=4.9215 b=4.9215 c=4.4750 alpha=90.00 beta=90.00 gamma=90.00
Closest atoms and distances in Å follow each position.
Positions (direct):
Li 0.0000 0.0000 0.0000  2 In 2.24
Mn 0.0000 0.5000 0.5000  2 In 2.46
Mn 0.5000 0.0000 0.5000  2 In 2.46
In 0.0000 0.0000 0.5000  2 Li 2.24, 4 Mn 2.46
Ru 0.5000 0.5000 0.0000  8 Mn 3.33, 4 Li 3.48

Pu2ZrNbP4: relaxed, PBE-GGA.

Calculated values
Calculated volume = 156.0 Å³/cell
ΔE_f = -26.6 kcal/mol of atoms

Unit cell a=6.5823 b=3.7978 c=6.6138 alpha=90.00 beta=109.31 gamma=90.00
Closest atoms and distances in Å follow each position.
Positions (direct):
Pu 0.0000 0.0000 0.0000  6 P 2.77
Pu 0.5000 0.5000 0.0000  6 P 2.73
Zr 0.0000 0.5000 0.5000  6 P 2.65-2.66
Nb 0.5000 0.0000 0.5000  6 P 2.61
P 0.2505 0.0000 0.7352  1 Nb 2.61, 2 Zr 2.65, 3 Pu 2.73-2.77
P 0.2615 0.5000 0.2677  2 Nb 2.61, 1 Zr 2.66, 3 Pu 2.73-2.77
P 0.7385 0.5000 0.7323  2 Nb 2.61, 1 Zr 2.66, 3 Pu 2.73-2.77
P 0.7495 0.0000 0.2648  1 Nb 2.61, 2 Zr 2.65, 3 Pu 2.73-2.77